# 1
A PBEsol-optimized structure of TaInNi6, computed with meta-GGA SCAN.

```
data_TaInNi6
_chemical_formula_sum 'Ta8 In8 Ni48'
_symmetry_space_group_name_H-M 'C m m m'
_symmetry_Int_Tables_number 65
_symmetry_space_group_name_Hall '-C 2 2'
_cell_length_a 7.282
_cell_length_b 10.319
_cell_length_c 10.327
_cell_angle_alpha 90.00
_cell_angle_beta 90.00
_cell_angle_gamma 90.00
loop_
_atom_site_label
_atom_site_type_symbol
_atom_site_fract_x
_atom_site_fract_y
_atom_site_fract_z
Ta1 Ta 0.000 0.000 0.248
Ta2 Ta 0.000 0.248 0.500
In1 In 0.000 0.251 0.000
In2 In 0.000 0.500 0.250
Ni1 Ni 0.000 0.000 0.000
Ni2 Ni 0.000 0.000 0.500
Ni3 Ni 0.000 0.247 0.256
Ni4 Ni 0.000 0.500 0.000
Ni5 Ni 0.000 0.500 0.500
Ni6 Ni 0.245 0.123 0.128
Ni7 Ni 0.246 0.126 0.378
```

Energy of formation: -0.207 eV per atom
Magnetization: 0.00 μB/f.u.


# 2
A PBEsol-optimized structure of TaIn2Ni, computed with meta-GGA SCAN.

```
data_TaIn2Ni
_chemical_formula_sum 'Ta4 In8 Ni4'
_symmetry_space_group_name_H-M 'F m -3 m'
_symmetry_Int_Tables_number 225
_symmetry_space_group_name_Hall '-F 4 2 3'
_cell_length_a 6.534
_cell_length_b 6.534
_cell_length_c 6.534
_cell_angle_alpha 90.00
_cell_angle_beta 90.00
_cell_angle_gamma 90.00
loop_
_atom_site_label
_atom_site_type_symbol
_atom_site_fract_x
_atom_site_fract_y
_atom_site_fract_z
Ta1 Ta 0.000 0.000 0.000
In1 In 0.250 0.250 0.250
Ni1 Ni 0.000 0.000 0.500
```

Energy of formation: 0.443 eV per atom
Magnetization: 1.15 μB/f.u.


# 3
A PBEsol-optimized structure of TaIn2Ni, computed with meta-GGA SCAN.

```
data_TaIn2Ni
_chemical_formula_sum 'Ta3 In6 Ni3'
_symmetry_space_group_name_H-M 'R -3 m'
_symmetry_Int_Tables_number 166
_symmetry_space_group_name_Hall '-R 3 2"'
_cell_length_a 3.0181
_cell_length_b 3.0181
_cell_length_c 26.6566
_cell_angle_alpha 90.00
_cell_angle_beta 90.00
_cell_angle_gamma 120.00
loop_
_atom_site_label
_atom_site_type_symbol
_atom_site_fract_x
_atom_site_fract_y
_atom_site_fract_z
Ta1 Ta 0.0000 0.0000 0.0000
In1 In 0.0000 0.0000 0.2414
Ni1 Ni 0.0000 0.0000 0.5000
```

Energy of formation: 0.206 eV per atom
Magnetization: 0.00 μB/f.u.


# 4
A PBEsol-optimized structure of TaIn2Ni, computed with meta-GGA SCAN.

```
data_TaIn2Ni
_chemical_formula_sum 'Ta1 In2 Ni1'
_symmetry_space_group_name_H-M 'P 4/m m m'
_symmetry_Int_Tables_number 123
_symmetry_space_group_name_Hall '-P 4 2'
_cell_length_a 4.127
_cell_length_b 4.127
_cell_length_c 4.013
_cell_angle_alpha 90.00
_cell_angle_beta 90.00
_cell_angle_gamma 90.00
loop_
_atom_site_label
_atom_site_type_symbol
_atom_site_fract_x
_atom_site_fract_y
_atom_site_fract_z
Ta1 Ta 0.000 0.000 0.000
In1 In 0.000 0.500 0.500
Ni1 Ni 0.500 0.500 0.000
```

Energy of formation: 0.159 eV per atom
Magnetization: 0.00 μB/f.u.


# 5
A PBEsol-optimized structure of Tb2InNi2, computed with meta-GGA SCAN.

```
data_Tb2InNi2
_chemical_formula_sum 'Tb4 In2 Ni4'
_symmetry_space_group_name_H-M 'P 4/m b m'
_symmetry_Int_Tables_number 127
_symmetry_space_group_name_Hall '-P 4 2ab'
_cell_length_a 7.282
_cell_length_b 7.282
_cell_length_c 3.611
_cell_angle_alpha 90.00
_cell_angle_beta 90.00
_cell_angle_gamma 90.00
loop_
_atom_site_label
_atom_site_type_symbol
_atom_site_fract_x
_atom_site_fract_y
_atom_site_fract_z
Tb1 Tb 0.175 0.325 0.000
In1 In 0.000 0.000 0.500
Ni1 Ni 0.119 0.619 0.500
```

Energy of formation: -0.548 eV per atom
Magnetization: 0.00 μB/f.u.


# 6
A PBEsol-optimized structure of Tb5In4Ni2, computed with meta-GGA SCAN.

```
data_Tb5In4Ni2
_chemical_formula_sum 'Tb10 In8 Ni4'
_symmetry_space_group_name_H-M 'P b a m'
_symmetry_Int_Tables_number 55
_cell_length_a 7.840
_cell_length_b 17.728
_cell_length_c 3.569
_cell_angle_alpha 90.00
_cell_angle_beta 90.00
_cell_angle_gamma 90.00
loop_
_symmetry_equiv_pos_as_xyz
'x,y,z'
'-x,-y,-z'
'-x,-y,z'
'x,y,-z'
'x+1/2,-y+1/2,-z'
'-x+1/2,y+1/2,z'
'-x+1/2,y+1/2,-z'
'x+1/2,-y+1/2,z'
loop_
_atom_site_label
_atom_site_type_symbol
_atom_site_fract_x
_atom_site_fract_y
_atom_site_fract_z
Tb1 Tb 0.000 0.000 0.000
Tb2 Tb 0.118 0.413 0.000
Tb3 Tb 0.248 0.222 0.000
In1 In 0.069 0.848 0.500
In2 In 0.207 0.571 0.500
Ni1 Ni 0.026 0.305 0.500
```

Energy of formation: -0.640 eV per atom
Magnetization: 0.00 μB/f.u.


# 7
A PBEsol-optimized structure of Tb2InNi2, computed with meta-GGA SCAN.

```
data_Tb2InNi2
_chemical_formula_sum 'Tb4 In2 Ni4'
_symmetry_space_group_name_H-M 'C m m m'
_symmetry_Int_Tables_number 65
_symmetry_space_group_name_Hall '-C 2 2'
_cell_length_a 3.887
_cell_length_b 14.037
_cell_length_c 3.605
_cell_angle_alpha 90.00
_cell_angle_beta 90.00
_cell_angle_gamma 90.00
loop_
_atom_site_label
_atom_site_type_symbol
_atom_site_fract_x
_atom_site_fract_y
_atom_site_fract_z
Tb1 Tb 0.000 0.138 0.000
In1 In 0.000 0.500 0.500
Ni1 Ni 0.000 0.301 0.500
```

Energy of formation: -0.579 eV per atom
Magnetization: 0.00 μB/f.u.


# 8
A PBEsol-optimized structure of InTc2Ni, computed with meta-GGA SCAN.

```
data_InTc2Ni
_chemical_formula_sum 'In4 Tc8 Ni4'
_symmetry_space_group_name_H-M 'F -4 3 m'
_symmetry_Int_Tables_number 216
_symmetry_space_group_name_Hall 'F -4 2 3'
_cell_length_a 6.142
_cell_length_b 6.142
_cell_length_c 6.142
_cell_angle_alpha 90.00
_cell_angle_beta 90.00
_cell_angle_gamma 90.00
loop_
_atom_site_label
_atom_site_type_symbol
_atom_site_fract_x
_atom_site_fract_y
_atom_site_fract_z
In1 In 0.000 0.000 0.000
Tc1 Tc 0.000 0.000 0.500
Tc2 Tc 0.250 0.250 0.250
Ni1 Ni 0.250 0.250 0.750
```

Energy of formation: 0.243 eV per atom
Magnetization: 1.36 μB/f.u.